[1]
DFT (GGA-PBE) results for ErNp2Se4 after structural relaxation.

```
14
Lattice="3.944 0.000 0.000 -1.972 6.755 0.000 0.000 0.000 13.902" Properties=species:S:1:pos:R:3 pbc="T T T"
Se 1.972 6.332 10.427
Er 0.000 5.121 3.476
Np 0.000 1.827 5.996
Se 1.972 3.803 1.756
Se 0.000 2.952 12.146
Se 0.000 0.423 3.476
Np 1.972 4.928 12.947
Se 1.972 0.000 6.951
Np 1.972 4.928 7.907
Se 0.000 2.952 8.707
Se 1.972 0.000 0.000
Er 1.972 1.634 10.427
Se 1.972 3.803 5.195
Np 0.000 1.827 0.956
```

Calculated values
**Total energy**: -7.646 eV per atom
**V**: 185 Å³/f.u.

=====

[2]
DFT (GGA-PBE) results for MgSi3Mo after structural relaxation.

```
5
Lattice="4.657 0.000 0.000 0.000 4.657 0.000 0.000 0.000 4.657" Properties=species:S:1:pos:R:3 pbc="T T T"
Mo 2.329 2.329 2.329
Si 2.329 0.000 0.000
Mg 0.000 0.000 0.000
Si 0.000 2.329 0.000
Si 0.000 0.000 2.329
```

Calculated values
**Total energy**: -3.952 eV per atom
**Energy above the most stable polymorph in this dataset**: 1333 meV/atom
**V**: 101 Å³/f.u.

=====

| no. | uncorrected formation energy (kJ per mole of atoms) |
| --- | --- |
| 1 | -126 |
| 2 | 172 |